# 1
Here is an optimized crystal structure of NdCrB4 from Alexandria via LeMat-Bulk. Energies are from PBE.

Cell and atoms, written as POSCAR:
```
NdCrB4
1.0
3.5468 0.0000 0.0000
0.0000 6.0327 0.0000
0.0000 0.0000 11.6655
B Cr Nd
16 4 4
direct
0.5000 0.2253 0.8182 B
0.5000 0.9751 0.3112 B
0.5000 0.8585 0.0330 B
0.5000 0.6115 0.9544 B
0.5000 0.8885 0.4544 B
0.5000 0.4751 0.1888 B
0.5000 0.3585 0.4670 B
0.5000 0.0249 0.6888 B
0.5000 0.7253 0.6818 B
0.5000 0.1115 0.5456 B
0.5000 0.3885 0.0456 B
0.5000 0.1415 0.9670 B
0.5000 0.6415 0.5330 B
0.5000 0.7747 0.1818 B
0.5000 0.2747 0.3182 B
0.5000 0.5249 0.8112 B
0.0000 0.8808 0.5778 Cr
0.0000 0.1192 0.4222 Cr
0.0000 0.3808 0.9222 Cr
0.0000 0.6192 0.0778 Cr
0.0000 0.1223 0.1511 Nd
0.0000 0.8777 0.8489 Nd
0.0000 0.6223 0.3489 Nd
0.0000 0.3777 0.6511 Nd
```

Output
- ΔE_f (eV/atom) = -0.53
- uncorrected energy (eV per atom) = -7.38
- spin magnetization (μB per cell) = 0.0
- calculated density (g cm⁻³) = 6.4

***

# 2
Here is an optimized crystal structure of RbNa3B from Alexandria via LeMat-Bulk. Energies are from PBE.

Cell and atoms, written as POSCAR:
```
RbNa3B
1.0
-1.6197 3.5836 -3.8314
-2.6283 -4.0247 -2.6532
-4.5403 1.0514 2.9028
B Na Rb
1 3 1
direct
0.0000 0.0000 0.0000 B
0.0000 0.5000 0.0000 Na
0.5000 0.0000 0.0000 Na
0.0000 0.0000 0.5000 Na
0.5000 0.5000 0.5000 Rb
```

Output
- ΔE_f (eV/atom) = 0.62
- uncorrected energy (eV per atom) = -1.70
- relative energy among the computed polymorphs (meV per atom) = 0
- spin magnetization (μB per cell) = 1.0
- calculated density (g cm⁻³) = 1.7

***

# 3
Here is an optimized crystal structure of Ga2HgI4 from Alexandria via LeMat-Bulk. Energies are from PBE.

Cell and atoms, written as POSCAR:
```
Ga2HgI4
1.0
7.9236 0.0000 0.0000
0.0000 9.6299 0.0000
0.0000 0.0000 15.6167
I Hg Ga
16 4 8
direct
0.8684 0.2500 0.1275 I
0.3328 0.9858 0.1180 I
0.8156 0.7500 0.1212 I
0.1316 0.7500 0.8725 I
0.3156 0.2500 0.3788 I
0.8328 0.0142 0.3820 I
0.3328 0.5142 0.1180 I
0.8328 0.4858 0.3820 I
0.6672 0.4858 0.8820 I
0.3684 0.7500 0.3725 I
0.1672 0.5142 0.6180 I
0.6315 0.2500 0.6275 I
0.6844 0.7500 0.6212 I
0.6672 0.0142 0.8820 I
0.1672 0.9858 0.6180 I
0.1844 0.2500 0.8788 I
0.5036 0.2500 0.7952 Hg
0.4964 0.7500 0.2048 Hg
0.0036 0.7500 0.7048 Hg
0.9964 0.2500 0.2952 Hg
0.5031 0.2500 0.0226 Ga
0.4969 0.7500 0.9774 Ga
0.0000 0.0000 0.0000 Ga
0.0000 0.5000 0.0000 Ga
0.5000 0.0000 0.5000 Ga
0.9969 0.2500 0.5226 Ga
0.0031 0.7500 0.4774 Ga
0.5000 0.5000 0.5000 Ga
```

Output
- uncorrected energy (eV per atom) = -2.08
- spin magnetization (μB per cell) = 0.0
- uncorrected formation energy (kJ per mole of atoms) = -27.6
- calculated density (g cm⁻³) = 4.7

***

# 4
Here is an optimized crystal structure of KAg4Au3F12 from Alexandria via LeMat-Bulk. Energies are from PBE.

Cell and atoms, written as POSCAR:
```
KAg4Au3F12
1.0
-2.9544 3.4799 -6.1388
-5.2447 -0.2436 5.5638
6.1221 3.8875 2.4351
Au F Ag K
3 12 4 1
direct
0.0000 0.5000 0.5000 Au
0.5000 0.5000 0.0000 Au
0.5000 0.0000 0.5000 Au
0.1579 0.8358 0.6779 F
0.5199 0.6779 0.8421 F
0.6779 0.1579 0.8358 F
0.3221 0.8421 0.1642 F
0.8421 0.5199 0.6779 F
0.1579 0.4801 0.3221 F
0.3221 0.1579 0.4801 F
0.1642 0.3221 0.8421 F
0.6779 0.8421 0.5199 F
0.8421 0.1642 0.3221 F
0.4801 0.3221 0.1579 F
0.8358 0.6779 0.1579 F
0.0000 0.5000 0.0000 Ag
0.0000 0.0000 0.5000 Ag
0.5000 0.0000 0.0000 Ag
0.5000 0.5000 0.5000 Ag
0.0000 0.0000 0.0000 K
```

Output
- uncorrected energy (eV per atom) = -3.41
- spin magnetization (μB per cell) = 2.0
- uncorrected formation energy (kJ per mole of atoms) = -113.1
- calculated density (g cm⁻³) = 6.2